w:
5
Lattice="5.2824 0.0000 0.0000 0.0000 5.2824 0.0000 0.0000 0.0000 5.7270" Properties=species:S:1:pos:R:3 comment="TiBTe2I, optimized geometry, DFT GGA-PBE" rho_g_cm3=4.6 spacegroup="P4/mmm, No. 123" pbc="T T T"
Ti 0.0000 0.0000 0.0000
B 2.6412 2.6412 2.8635
Te 0.0000 2.6412 0.0000
Te 2.6412 0.0000 0.0000
I 0.0000 0.0000 2.8635

***

x:
5
Lattice="4.8189 0.0000 0.0000 0.0000 4.8189 0.0000 0.0000 0.0000 5.0331" Properties=species:S:1:pos:R:3 comment="TiBTe2I, optimized geometry, DFT GGA-PBE" rho_g_cm3=6.3 spacegroup="P4/mmm, No. 123" pbc="T T T"
Ti 0.0000 0.0000 0.0000
B 2.4095 2.4095 2.5166
Te 0.0000 2.4095 2.5166
Te 2.4095 0.0000 2.5166
I 2.4095 2.4095 0.0000

***

Ordering by calculated energy gives the sequence x, w, with the first entry being the most stable.

***

w:
5
Lattice="4.8862 0.0000 0.0000 0.0000 4.8862 0.0000 0.0000 0.0000 5.0990" Properties=species:S:1:pos:R:3 comment="BTeWI2, optimized geometry, DFT GGA-PBE" rho_g_cm3=7.9 spacegroup="P4/mmm, No. 123" pbc="T T T"
B 0.0000 0.0000 0.0000
Te 0.0000 0.0000 2.5495
W 2.4431 2.4431 2.5495
I 0.0000 2.4431 0.0000
I 2.4431 0.0000 0.0000

***

x:
5
Lattice="5.4893 0.0000 0.0000 0.0000 5.4893 0.0000 0.0000 0.0000 4.2286" Properties=species:S:1:pos:R:3 comment="BTeWI2, optimized geometry, DFT GGA-PBE" rho_g_cm3=7.5 spacegroup="P4/mmm, No. 123" pbc="T T T"
B 0.0000 0.0000 0.0000
Te 2.7447 2.7447 0.0000
W 0.0000 0.0000 2.1143
I 0.0000 2.7447 2.1143
I 2.7447 0.0000 2.1143

***

y:
5
Lattice="5.6706 0.0000 0.0000 0.0000 5.6706 0.0000 0.0000 0.0000 5.2290" Properties=species:S:1:pos:R:3 comment="BTeWI2, optimized geometry, DFT GGA-PBE" rho_g_cm3=5.7 spacegroup="P4/mmm, No. 123" pbc="T T T"
B 0.0000 0.0000 0.0000
Te 2.8353 2.8353 0.0000
W 2.8353 2.8353 2.6145
I 0.0000 2.8353 2.6145
I 2.8353 0.0000 2.6145

***

Ordering by calculated energy gives the sequence x, y, w, with the first entry being the most stable.

***

w:
5
Lattice="5.9445 0.0000 0.0000 0.0000 5.9445 0.0000 0.0000 0.0000 6.0191" Properties=species:S:1:pos:R:3 comment="YBTeI2, optimized geometry, DFT GGA-PBE" rho_g_cm3=3.8 spacegroup="P4/mmm, No. 123" pbc="T T T"
Y 0.0000 0.0000 0.0000
B 2.9722 2.9722 3.0096
Te 0.0000 0.0000 3.0096
I 0.0000 2.9722 0.0000
I 2.9722 0.0000 0.0000

***

x:
5
Lattice="5.9593 0.0000 0.0000 0.0000 5.9593 0.0000 0.0000 0.0000 5.2540" Properties=species:S:1:pos:R:3 comment="YBTeI2, optimized geometry, DFT GGA-PBE" rho_g_cm3=4.3 spacegroup="P4/mmm, No. 123" pbc="T T T"
Y 0.0000 0.0000 0.0000
B 0.0000 0.0000 2.6270
Te 2.9797 2.9797 2.6270
I 0.0000 2.9797 0.0000
I 2.9797 0.0000 0.0000

***

Ordering by calculated energy gives the sequence w, x, with the first entry being the most stable.

***

w:
5
Lattice="4.9664 0.0000 0.0000 0.0000 4.9664 0.0000 0.0000 0.0000 4.9959" Properties=species:S:1:pos:R:3 comment="ZnBTe2I, optimized geometry, DFT GGA-PBE" rho_g_cm3=6.2 spacegroup="P4/mmm, No. 123" pbc="T T T"
Zn 0.0000 0.0000 0.0000
B 2.4832 2.4832 2.4980
Te 0.0000 2.4832 2.4980
Te 2.4832 0.0000 2.4980
I 2.4832 2.4832 0.0000

***

x:
5
Lattice="5.2931 0.0000 0.0000 0.0000 5.2931 0.0000 0.0000 0.0000 5.6350" Properties=species:S:1:pos:R:3 comment="ZnBTe2I, optimized geometry, DFT GGA-PBE" rho_g_cm3=4.8 spacegroup="P4/mmm, No. 123" pbc="T T T"
Zn 0.0000 0.0000 0.0000
B 2.6466 2.6466 2.8175
Te 0.0000 2.6466 0.0000
Te 2.6466 0.0000 0.0000
I 0.0000 0.0000 2.8175

***

y:
5
Lattice="5.9752 0.0000 0.0000 0.0000 5.9752 0.0000 0.0000 0.0000 5.3469" Properties=species:S:1:pos:R:3 comment="ZnBTe2I, optimized geometry, DFT GGA-PBE" rho_g_cm3=4.0 spacegroup="P4/mmm, No. 123" pbc="T T T"
Zn 0.0000 0.0000 0.0000
B 2.9876 2.9876 0.0000
Te 0.0000 2.9876 2.6735
Te 2.9876 0.0000 2.6735
I 0.0000 0.0000 2.6735

***

Ordering by calculated energy gives the sequence w, x, y, with the first entry being the most stable.

***

w:
5
Lattice="4.8490 0.0000 0.0000 0.0000 4.8490 0.0000 0.0000 0.0000 5.0216" Properties=species:S:1:pos:R:3 comment="ZrBTe2I, optimized geometry, DFT GGA-PBE" rho_g_cm3=6.8 spacegroup="P4/mmm, No. 123" pbc="T T T"
Zr 0.0000 0.0000 0.0000
B 2.4245 2.4245 2.5108
Te 0.0000 2.4245 2.5108
Te 2.4245 0.0000 2.5108
I 2.4245 2.4245 0.0000

***

x:
5
Lattice="5.6148 0.0000 0.0000 0.0000 5.6148 0.0000 0.0000 0.0000 5.7731" Properties=species:S:1:pos:R:3 comment="ZrBTe2I, optimized geometry, DFT GGA-PBE" rho_g_cm3=4.4 spacegroup="P4/mmm, No. 123" pbc="T T T"
Zr 0.0000 0.0000 0.0000
B 2.8074 2.8074 2.8866
Te 0.0000 2.8074 0.0000
Te 2.8074 0.0000 0.0000
I 0.0000 0.0000 2.8866

***

Ordering by calculated energy gives the sequence w, x, with the first entry being the most stable.

***

w:
6
Lattice="3.8161 0.0000 0.0000 0.0000 3.4545 0.0000 -1.8425 0.0000 12.5197" Properties=species:S:1:pos:R:3 comment="ThBI, optimized geometry, DFT GGA-PBE" rho_g_cm3=7.4 spacegroup="P2_1/m, No. 11" pbc="T T T"
Th -0.0005 0.8636 1.6597
Th 1.9742 2.5908 10.8600
B 0.0651 0.8636 12.1689
B 1.9085 2.5908 0.3508
I 0.0660 2.5908 8.3115
I 1.9076 0.8636 4.2082

***

x:
6
Lattice="3.2048 -1.8480 0.0000 3.2048 1.8480 0.0000 -2.1700 0.0000 12.8447" Properties=species:S:1:pos:R:3 comment="ThBI, optimized geometry, DFT GGA-PBE" rho_g_cm3=8.1 spacegroup="C2/m, No. 12" pbc="T T T"
Th 0.0004 0.0000 1.8791
Th 4.2392 0.0000 10.9655
B 2.1335 0.0000 0.0034
B 2.1061 0.0000 12.8413
I -0.0348 0.0000 8.5477
I 4.2745 0.0000 4.2970

***

y:
6
Lattice="3.4662 0.0000 0.0000 -0.0002 3.7884 0.0000 -0.0639 -1.1394 12.1426" Properties=species:S:1:pos:R:3 comment="ThBI, optimized geometry, DFT GGA-PBE" rho_g_cm3=7.7 spacegroup="P-1, No. 2" pbc="T T T"
Th 0.8345 1.3248 4.3998
Th 2.5676 1.3242 7.7428
B 0.8347 -0.5698 6.3490
B 2.5674 3.2188 5.7936
I 0.8341 -0.5699 9.9610
I 2.5680 3.2189 2.1816

***

Ordering by calculated energy gives the sequence y, x, w, with the first entry being the most stable.